[1]
Below is an optimized crystal structure of HfCd2Cu9, with properties calculated at the GGA-PBE level.

abc: 4.961 4.961 8.554
angles: 73.14 73.14 60.00
Atoms (fractional coordinates):
1 Cu 0.500 0.500 0.500
2 Cd 0.142 0.142 0.574
3 Cu 0.416 0.416 0.248
4 Cu 0.584 0.081 0.752
5 Cu 0.416 0.919 0.248
6 Hf 0.000 0.000 0.000
7 Cu 0.667 0.667 0.000
8 Cu 0.081 0.584 0.752
9 Cu 0.919 0.416 0.248
10 Cu 0.333 0.333 0.000
11 Cd 0.858 0.858 0.426
12 Cu 0.584 0.584 0.752

Computed properties:
Calculated formation energy ... -16 meV per atom

---

[2]
Below is an optimized crystal structure of LiCdPt, with properties calculated at the GGA-PBE level.

abc: 4.423 4.423 2.866
angles: 90.00 90.00 120.00
Atoms (fractional coordinates):
1 Pt 0.333 0.667 0.585
2 Cd 0.000 0.000 0.034
3 Li 0.667 0.333 0.381

Computed properties:
E above lowest polymorph ... 0.016 eV/atom
Calculated formation energy ... -453 meV per atom